i:
{
  "formula": "TaOs2Br",
  "functional": "PBE-GGA",
  "state": "relaxed",
  "lattice_angstrom": [[2.9089, 0.0000, 0.0000], [0.0000, 4.9575, 0.0000], [0.0000, 0.0000, 9.9622]],
  "species": ["Ta", "Ta", "Os", "Os", "Os", "Os", "Br", "Br"],
  "frac_coords": [[0.0000, 0.0000, 0.0000], [0.5000, 0.5000, 0.0000], [0.0000, 0.0000, 0.5518], [0.0000, 0.5000, 0.7678], [0.5000, 0.0000, 0.7678], [0.5000, 0.5000, 0.5518], [0.0000, 0.5000, 0.2301], [0.5000, 0.0000, 0.2301]],
  "dos_ef_per_ev_atom": 1.350
}

***

ii:
{
  "formula": "TaOs2Br",
  "functional": "PBE-GGA",
  "state": "relaxed",
  "lattice_angstrom": [[9.9900, 0.0000, 0.0000], [0.0000, 2.9253, 0.0000], [-0.2513, 0.0000, 4.5344]],
  "species": ["Ta", "Ta", "Os", "Os", "Os", "Os", "Br", "Br"],
  "frac_coords": [[0.0000, 0.0000, 0.0000], [0.5000, 0.5000, 0.0000], [0.2227, 0.5000, 0.2291], [0.2773, 0.0000, 0.7709], [0.7227, 0.0000, 0.2291], [0.7773, 0.5000, 0.7709], [0.0000, 0.5000, 0.5000], [0.5000, 0.0000, 0.5000]],
  "dos_ef_per_ev_atom": 0.813
}

***

iii:
{
  "formula": "TaOs2Br",
  "functional": "PBE-GGA",
  "state": "relaxed",
  "lattice_angstrom": [[3.1085, 0.0000, 0.0000], [0.0000, 4.6996, 0.0000], [0.0000, 0.0000, 10.3423]],
  "species": ["Ta", "Ta", "Os", "Os", "Os", "Os", "Br", "Br"],
  "frac_coords": [[0.0000, 0.0000, 0.0000], [0.5000, 0.5000, 0.0000], [0.0000, 0.5000, 0.2010], [0.0000, 0.5000, 0.7990], [0.5000, 0.0000, 0.2010], [0.5000, 0.0000, 0.7990], [0.0000, 0.0000, 0.5000], [0.5000, 0.5000, 0.5000]],
  "dos_ef_per_ev_atom": 1.026
}

***

iv:
{
  "formula": "TaOs2Br",
  "functional": "PBE-GGA",
  "state": "relaxed",
  "lattice_angstrom": [[5.9974, 0.0000, 0.0000], [0.0000, 7.2342, 0.0000], [0.0000, 0.0000, 3.0294]],
  "species": ["Ta", "Ta", "Os", "Os", "Os", "Os", "Br", "Br"],
  "frac_coords": [[0.0000, 0.0000, 0.0000], [0.5000, 0.5000, 0.0000], [0.2500, 0.2500, 0.5000], [0.2500, 0.7500, 0.5000], [0.7500, 0.2500, 0.5000], [0.7500, 0.7500, 0.5000], [0.0000, 0.5000, 0.0000], [0.5000, 0.0000, 0.0000]],
  "dos_ef_per_ev_atom": 0.741
}

***

Which of them is the least stable? Correct choice: iv.

***

i:
{
  "formula": "TaOs2Br",
  "functional": "PBE-GGA",
  "state": "relaxed",
  "lattice_angstrom": [[2.9800, 0.0000, 0.0000], [0.0000, 3.6666, 0.0000], [0.0000, 0.0000, 7.8825]],
  "species": ["Ta", "Os", "Os", "Br"],
  "frac_coords": [[0.0000, 0.0000, 0.0000], [0.0000, 0.0000, 0.6800], [0.5000, 0.5000, 0.7955], [0.5000, 0.5000, 0.2321]],
  "dos_ef_per_ev_atom": 0.504
}

***

ii:
{
  "formula": "TaOs2Br",
  "functional": "PBE-GGA",
  "state": "relaxed",
  "lattice_angstrom": [[3.0770, 0.0000, 0.0000], [-1.5385, 2.6648, 0.0000], [0.0000, 0.0000, 25.6384]],
  "species": ["Ta", "Ta", "Ta", "Os", "Os", "Os", "Os", "Os", "Os", "Br", "Br", "Br"],
  "frac_coords": [[0.0000, 0.0000, 0.0000], [0.3333, 0.6667, 0.6667], [0.6667, 0.3333, 0.3333], [0.0000, 0.0000, 0.2569], [0.0000, 0.0000, 0.7431], [0.3333, 0.6667, 0.4098], [0.3333, 0.6667, 0.9235], [0.6667, 0.3333, 0.0765], [0.6667, 0.3333, 0.5902], [0.0000, 0.0000, 0.5000], [0.3333, 0.6667, 0.1667], [0.6667, 0.3333, 0.8333]],
  "dos_ef_per_ev_atom": 0.864
}

***

Which of them is the least stable? Correct choice: ii.

***

i:
{
  "formula": "TaOs2Br",
  "functional": "PBE-GGA",
  "state": "relaxed",
  "lattice_angstrom": [[9.9561, 0.0000, 0.0000], [0.0000, 3.0055, 0.0000], [-0.3810, 0.0000, 4.5373]],
  "species": ["Ta", "Ta", "Os", "Os", "Os", "Os", "Br", "Br"],
  "frac_coords": [[0.0000, 0.0000, 0.0000], [0.5000, 0.5000, 0.0000], [0.0704, 0.5000, 0.5699], [0.2963, 0.0000, 0.7183], [0.5704, 0.0000, 0.5699], [0.7963, 0.5000, 0.7183], [0.2724, 0.5000, 0.2539], [0.7724, 0.0000, 0.2539]],
  "dos_ef_per_ev_atom": 0.533
}

***

ii:
{
  "formula": "TaOs2Br",
  "functional": "PBE-GGA",
  "state": "relaxed",
  "lattice_angstrom": [[3.8954, 0.0000, 0.0000], [0.0000, 3.8954, 0.0000], [0.0000, 0.0000, 8.6372]],
  "species": ["Ta", "Ta", "Os", "Os", "Os", "Os", "Br", "Br"],
  "frac_coords": [[0.0000, 0.0000, 0.0000], [0.5000, 0.5000, 0.5000], [0.0000, 0.0000, 0.5000], [0.0000, 0.5000, 0.2500], [0.5000, 0.0000, 0.7500], [0.5000, 0.5000, 0.0000], [0.0000, 0.5000, 0.7500], [0.5000, 0.0000, 0.2500]],
  "dos_ef_per_ev_atom": 1.007
}

***

iii:
{
  "formula": "TaOs2Br",
  "functional": "PBE-GGA",
  "state": "relaxed",
  "lattice_angstrom": [[6.4502, 0.0000, 0.0000], [0.0000, 6.4502, 0.0000], [0.0000, 0.0000, 6.4502]],
  "species": ["Ta", "Ta", "Ta", "Ta", "Os", "Os", "Os", "Os", "Os", "Os", "Os", "Os", "Br", "Br", "Br", "Br"],
  "frac_coords": [[0.0000, 0.0000, 0.0000], [0.0000, 0.5000, 0.5000], [0.5000, 0.0000, 0.5000], [0.5000, 0.5000, 0.0000], [0.2500, 0.2500, 0.2500], [0.2500, 0.2500, 0.7500], [0.2500, 0.7500, 0.2500], [0.2500, 0.7500, 0.7500], [0.7500, 0.2500, 0.2500], [0.7500, 0.2500, 0.7500], [0.7500, 0.7500, 0.2500], [0.7500, 0.7500, 0.7500], [0.0000, 0.0000, 0.5000], [0.0000, 0.5000, 0.0000], [0.5000, 0.0000, 0.0000], [0.5000, 0.5000, 0.5000]],
  "dos_ef_per_ev_atom": 0.521
}

***

Which of them is the least stable? Correct choice: ii.

***

i:
{
  "formula": "TaOsBr3",
  "functional": "PBE-GGA",
  "state": "relaxed",
  "lattice_angstrom": [[5.1488, 0.0000, 0.0000], [0.0000, 5.1488, 0.0000], [0.0000, 0.0000, 5.1488]],
  "species": ["Ta", "Os", "Br", "Br", "Br"],
  "frac_coords": [[0.0000, 0.0000, 0.0000], [0.5000, 0.5000, 0.5000], [0.0000, 0.0000, 0.5000], [0.0000, 0.5000, 0.0000], [0.5000, 0.0000, 0.0000]],
  "dos_ef_per_ev_atom": 1.005
}

***

ii:
{
  "formula": "TaOsBr3",
  "functional": "PBE-GGA",
  "state": "relaxed",
  "lattice_angstrom": [[5.0215, 0.0000, 0.0000], [0.0000, 5.0215, 0.0000], [0.0000, 0.0000, 5.0215]],
  "species": ["Ta", "Os", "Br", "Br", "Br"],
  "frac_coords": [[0.0000, 0.0000, 0.0000], [0.5000, 0.5000, 0.5000], [0.0000, 0.5000, 0.5000], [0.5000, 0.0000, 0.5000], [0.5000, 0.5000, 0.0000]],
  "dos_ef_per_ev_atom": 1.234
}

***

Which of them is the least stable? Correct choice: ii.

***

i:
{
  "formula": "TaOs3Br",
  "functional": "PBE-GGA",
  "state": "relaxed",
  "lattice_angstrom": [[4.5165, 0.0000, 0.0000], [0.0000, 4.5165, 0.0000], [0.0000, 0.0000, 4.5165]],
  "species": ["Ta", "Os", "Os", "Os", "Br"],
  "frac_coords": [[0.0000, 0.0000, 0.0000], [0.0000, 0.5000, 0.5000], [0.5000, 0.0000, 0.5000], [0.5000, 0.5000, 0.0000], [0.5000, 0.5000, 0.5000]],
  "dos_ef_per_ev_atom": 1.376
}

***

ii:
{
  "formula": "TaOs3Br",
  "functional": "PBE-GGA",
  "state": "relaxed",
  "lattice_angstrom": [[4.8837, 0.0000, 0.0000], [0.0000, 4.8837, 0.0000], [0.0000, 0.0000, 4.8837]],
  "species": ["Ta", "Os", "Os", "Os", "Br"],
  "frac_coords": [[0.0000, 0.0000, 0.0000], [0.0000, 0.0000, 0.5000], [0.0000, 0.5000, 0.0000], [0.5000, 0.0000, 0.0000], [0.5000, 0.5000, 0.5000]],
  "dos_ef_per_ev_atom": 1.098
}

***

Which of them is the least stable? Correct choice: ii.

***

i:
{
  "formula": "Tb2OsBr",
  "functional": "PBE-GGA",
  "state": "relaxed",
  "lattice_angstrom": [[4.0244, 0.0000, 0.0000], [-2.0122, 3.4852, 0.0000], [0.0000, 0.0000, 22.9476]],
  "species": ["Tb", "Tb", "Tb", "Tb", "Tb", "Tb", "Os", "Os", "Os", "Br", "Br", "Br"],
  "frac_coords": [[0.0000, 0.0000, 0.2318], [0.0000, 0.0000, 0.7682], [0.3333, 0.6667, 0.4349], [0.3333, 0.6667, 0.8984], [0.6667, 0.3333, 0.1016], [0.6667, 0.3333, 0.5651], [0.0000, 0.0000, 0.5000], [0.3333, 0.6667, 0.1667], [0.6667, 0.3333, 0.8333], [0.0000, 0.0000, 0.0000], [0.3333, 0.6667, 0.6667], [0.6667, 0.3333, 0.3333]],
  "dos_ef_per_ev_atom": 0.694
}

***

ii:
{
  "formula": "Tb2OsBr",
  "functional": "PBE-GGA",
  "state": "relaxed",
  "lattice_angstrom": [[3.4001, 0.0000, 0.0000], [0.0000, 3.4001, 0.0000], [0.0000, 0.0000, 8.2088]],
  "species": ["Tb", "Tb", "Os", "Br"],
  "frac_coords": [[0.0000, 0.0000, 0.2059], [0.0000, 0.0000, 0.7941], [0.5000, 0.5000, 0.0000], [0.5000, 0.5000, 0.5000]],
  "dos_ef_per_ev_atom": 0.431
}

***

Which of them is the least stable? Correct choice: i.

***

i:
{
  "formula": "Tc2OsBr",
  "functional": "PBE-GGA",
  "state": "relaxed",
  "lattice_angstrom": [[5.6888, 0.0000, 0.0000], [0.0000, 5.6888, 0.0000], [0.0000, 0.0000, 10.9987]],
  "species": ["Tc", "Tc", "Tc", "Tc", "Tc", "Tc", "Tc", "Tc", "Os", "Os", "Os", "Os", "Br", "Br", "Br", "Br"],
  "frac_coords": [[0.2309, 0.2500, 0.1250], [0.2500, 0.7309, 0.3750], [0.2500, 0.7691, 0.8750], [0.2691, 0.2500, 0.6250], [0.7309, 0.7500, 0.6250], [0.7500, 0.2309, 0.8750], [0.7500, 0.2691, 0.3750], [0.7691, 0.7500, 0.1250], [0.0000, 0.0000, 0.0000], [0.0000, 0.5000, 0.2500], [0.5000, 0.0000, 0.7500], [0.5000, 0.5000, 0.5000], [0.0000, 0.0000, 0.5000], [0.0000, 0.5000, 0.7500], [0.5000, 0.0000, 0.2500], [0.5000, 0.5000, 0.0000]],
  "dos_ef_per_ev_atom": 1.564
}

***

ii:
{
  "formula": "Tc2OsBr",
  "functional": "PBE-GGA",
  "state": "relaxed",
  "lattice_angstrom": [[4.6092, 0.0000, 0.0000], [0.0000, 4.6092, 0.0000], [0.0000, 0.0000, 2.8918]],
  "species": ["Tc", "Tc", "Os", "Br"],
  "frac_coords": [[0.0000, 0.5000, 0.0000], [0.5000, 0.0000, 0.0000], [0.0000, 0.0000, 0.5000], [0.5000, 0.5000, 0.5000]],
  "dos_ef_per_ev_atom": 0.982
}

***

Which of them is the least stable? Correct choice: i.

***

i:
{
  "formula": "Tc2OsBr",
  "functional": "PBE-GGA",
  "state": "relaxed",
  "lattice_angstrom": [[5.2810, 0.0000, 0.0000], [0.0000, 8.1370, 0.0000], [-0.2796, 0.0000, 2.8927]],
  "species": ["Tc", "Tc", "Tc", "Tc", "Os", "Os", "Br", "Br"],
  "frac_coords": [[0.2500, 0.2500, 0.0000], [0.2500, 0.7500, 0.0000], [0.7500, 0.2500, 0.0000], [0.7500, 0.7500, 0.0000], [0.0000, 0.0000, 0.5000], [0.5000, 0.5000, 0.5000], [0.0000, 0.5000, 0.5000], [0.5000, 0.0000, 0.5000]],
  "dos_ef_per_ev_atom": 1.178
}

***

ii:
{
  "formula": "Tc2OsBr",
  "functional": "PBE-GGA",
  "state": "relaxed",
  "lattice_angstrom": [[2.8922, 0.0000, 0.0000], [0.0000, 2.8922, 0.0000], [0.0000, 0.0000, 7.5796]],
  "species": ["Tc", "Tc", "Os", "Br"],
  "frac_coords": [[0.0000, 0.0000, 0.0000], [0.5000, 0.5000, 0.2487], [0.5000, 0.5000, 0.7809], [0.0000, 0.0000, 0.4822]],
  "dos_ef_per_ev_atom": 1.181
}

***

Which of them is the least stable? Correct choice: i.

***

i:
{
  "formula": "Tc2OsBr",
  "functional": "PBE-GGA",
  "state": "relaxed",
  "lattice_angstrom": [[2.9373, 0.0000, 0.0000], [0.0000, 4.4996, 0.0000], [0.0000, 0.0000, 9.1723]],
  "species": ["Tc", "Tc", "Tc", "Tc", "Os", "Os", "Br", "Br"],
  "frac_coords": [[0.0000, 0.0000, 0.0000], [0.0000, 0.5000, 0.2257], [0.5000, 0.0000, 0.7257], [0.5000, 0.5000, 0.5000], [0.0000, 0.0000, 0.4654], [0.5000, 0.5000, 0.9654], [0.0000, 0.5000, 0.7271], [0.5000, 0.0000, 0.2271]],
  "dos_ef_per_ev_atom": 0.948
}

***

ii:
{
  "formula": "Tc2OsBr",
  "functional": "PBE-GGA",
  "state": "relaxed",
  "lattice_angstrom": [[2.9558, 0.0000, 0.0000], [0.0000, 4.5112, 0.0000], [0.0000, 0.0000, 9.0766]],
  "species": ["Tc", "Tc", "Tc", "Tc", "Os", "Os", "Br", "Br"],
  "frac_coords": [[0.0000, 0.0000, 0.2324], [0.0000, 0.0000, 0.7676], [0.5000, 0.5000, 0.2676], [0.5000, 0.5000, 0.7324], [0.0000, 0.5000, 0.0000], [0.5000, 0.0000, 0.5000], [0.0000, 0.5000, 0.5000], [0.5000, 0.0000, 0.0000]],
  "dos_ef_per_ev_atom": 0.915
}

***

iii:
{
  "formula": "Tc2OsBr",
  "functional": "PBE-GGA",
  "state": "relaxed",
  "lattice_angstrom": [[2.8509, 0.0000, 0.0000], [0.0000, 4.7369, 0.0000], [0.0000, 0.0000, 10.0898]],
  "species": ["Tc", "Tc", "Tc", "Tc", "Os", "Os", "Br", "Br"],
  "frac_coords": [[0.0000, 0.0000, 0.0000], [0.0000, 0.5000, 0.2144], [0.5000, 0.0000, 0.2144], [0.5000, 0.5000, 0.0000], [0.0000, 0.0000, 0.4336], [0.5000, 0.5000, 0.4336], [0.0000, 0.5000, 0.7523], [0.5000, 0.0000, 0.7523]],
  "dos_ef_per_ev_atom": 1.151
}

***

Which of them is the least stable? Correct choice: ii.

***

i:
{
  "formula": "Tc3OsBr",
  "functional": "PBE-GGA",
  "state": "relaxed",
  "lattice_angstrom": [[4.4674, 0.0000, 0.0000], [0.0000, 4.4674, 0.0000], [0.0000, 0.0000, 4.4674]],
  "species": ["Tc", "Tc", "Tc", "Os", "Br"],
  "frac_coords": [[0.0000, 0.0000, 0.5000], [0.0000, 0.5000, 0.0000], [0.5000, 0.0000, 0.0000], [0.5000, 0.5000, 0.5000], [0.0000, 0.0000, 0.0000]],
  "dos_ef_per_ev_atom": 1.207
}

***

ii:
{
  "formula": "Tc3OsBr",
  "functional": "PBE-GGA",
  "state": "relaxed",
  "lattice_angstrom": [[4.8041, 0.0000, 0.0000], [0.0000, 4.8041, 0.0000], [0.0000, 0.0000, 4.8041]],
  "species": ["Tc", "Tc", "Tc", "Os", "Br"],
  "frac_coords": [[0.0000, 0.0000, 0.5000], [0.0000, 0.5000, 0.0000], [0.5000, 0.0000, 0.0000], [0.0000, 0.0000, 0.0000], [0.5000, 0.5000, 0.5000]],
  "dos_ef_per_ev_atom": 1.492
}

***

Which of them is the least stable? Correct choice: i.

***

i:
{
  "formula": "TcOs3Br",
  "functional": "PBE-GGA",
  "state": "relaxed",
  "lattice_angstrom": [[4.7679, 0.0000, 0.0000], [0.0000, 4.7679, 0.0000], [0.0000, 0.0000, 4.7679]],
  "species": ["Tc", "Os", "Os", "Os", "Br"],
  "frac_coords": [[0.0000, 0.0000, 0.0000], [0.0000, 0.0000, 0.5000], [0.0000, 0.5000, 0.0000], [0.5000, 0.0000, 0.0000], [0.5000, 0.5000, 0.5000]],
  "dos_ef_per_ev_atom": 1.203
}

***

ii:
{
  "formula": "TcOs3Br",
  "functional": "PBE-GGA",
  "state": "relaxed",
  "lattice_angstrom": [[4.5106, 0.0000, 0.0000], [0.0000, 4.5106, 0.0000], [0.0000, 0.0000, 4.5106]],
  "species": ["Tc", "Os", "Os", "Os", "Br"],
  "frac_coords": [[0.0000, 0.0000, 0.0000], [0.0000, 0.5000, 0.5000], [0.5000, 0.0000, 0.5000], [0.5000, 0.5000, 0.0000], [0.5000, 0.5000, 0.5000]],
  "dos_ef_per_ev_atom": 1.567
}

***

Which of them is the least stable? Correct choice: ii.

***

i:
{
  "formula": "Te2OsBr",
  "functional": "PBE-GGA",
  "state": "relaxed",
  "lattice_angstrom": [[12.7982, 0.0000, 0.0000], [0.0000, 3.5762, 0.0000], [-2.6556, 0.0000, 5.3781]],
  "species": ["Te", "Te", "Te", "Te", "Os", "Os", "Br", "Br"],
  "frac_coords": [[0.0000, 0.0000, 0.0000], [0.1391, 0.0000, 0.6841], [0.5000, 0.5000, 0.0000], [0.6391, 0.5000, 0.6841], [0.4878, 0.0000, 0.6728], [0.9878, 0.5000, 0.6728], [0.3387, 0.5000, 0.3622], [0.8387, 0.0000, 0.3622]],
  "dos_ef_per_ev_atom": 0.598
}

***

ii:
{
  "formula": "Te2OsBr",
  "functional": "PBE-GGA",
  "state": "relaxed",
  "lattice_angstrom": [[2.9111, 0.0000, 0.0000], [0.0000, 3.9822, 0.0000], [-0.0340, 0.0000, 9.5184]],
  "species": ["Te", "Te", "Os", "Br"],
  "frac_coords": [[0.0023, 0.0000, 0.1846], [0.9977, 0.0000, 0.8154], [0.0000, 0.5000, 0.0000], [0.0000, 0.5000, 0.5000]],
  "dos_ef_per_ev_atom": 0.871
}

***

iii:
{
  "formula": "Te2OsBr",
  "functional": "PBE-GGA",
  "state": "relaxed",
  "lattice_angstrom": [[3.1015, 0.0000, 0.0000], [-1.5507, 2.6859, 0.0000], [0.0000, 0.0000, 37.3317]],
  "species": ["Te", "Te", "Te", "Te", "Te", "Te", "Os", "Os", "Os", "Br", "Br", "Br"],
  "frac_coords": [[0.0000, 0.0000, 0.0687], [0.0000, 0.0000, 0.9313], [0.3333, 0.6667, 0.5980], [0.3333, 0.6667, 0.7354], [0.6667, 0.3333, 0.2646], [0.6667, 0.3333, 0.4020], [0.0000, 0.0000, 0.0000], [0.3333, 0.6667, 0.6667], [0.6667, 0.3333, 0.3333], [0.0000, 0.0000, 0.5000], [0.3333, 0.6667, 0.1667], [0.6667, 0.3333, 0.8333]],
  "dos_ef_per_ev_atom": 0.913
}

***

Which of them is the least stable? Correct choice: iii.